Entry from Alexandria: Cr2SbP at its PBEsol-relaxed geometry (SCAN).

```
4
Lattice="3.062 0.000 0.000 0.000 4.256 0.000 0.000 0.000 4.256" Properties=species:S:1:pos:R:3 pbc="T T T"
P 1.531 2.128 2.128
Cr 0.000 0.000 2.128
Cr 0.000 2.128 0.000
Sb 1.531 0.000 0.000
```

Output
Uncorrected formation energy ... 300 meV/atom

---

Entry from Alexandria: Ca5Pt2 at its PBEsol-relaxed geometry (SCAN).

```
14
Lattice="6.546 0.000 0.000 0.000 7.556 0.011 -3.273 -1.059 7.890" Properties=species:S:1:pos:R:3 pbc="T T T"
Ca 5.819 2.976 1.407
Ca 3.768 5.667 0.009
Ca -2.546 3.521 6.495
Ca -0.521 0.752 4.456
Ca 2.752 1.967 3.440
Ca 2.778 1.889 0.003
Ca 2.546 -0.257 6.489
Ca 0.521 4.530 4.462
Ca 0.726 6.754 1.413
Ca 3.794 5.744 3.446
Pt 1.883 4.170 1.755
Pt 4.662 0.392 1.749
Pt -1.390 6.105 6.153
Pt 1.390 2.327 6.147
```

Output
Formation enthalpy at 0 K ... -79 kJ per mole of atoms

---

Entry from Alexandria: KSmGeSe4 at its PBEsol-relaxed geometry (SCAN).

```
14
Lattice="6.743 0.000 -0.021 0.000 6.947 0.000 -2.745 0.000 8.506" Properties=species:S:1:pos:R:3 pbc="T T T"
Se 2.361 6.813 2.309
Se 5.795 5.145 1.294
Se -0.703 2.131 3.558
Se 1.638 3.339 6.176
Se -1.797 1.671 7.190
Se 2.634 3.189 2.442
Se 1.365 6.662 6.043
Se 4.702 5.604 4.927
Ge 0.029 1.647 5.747
Ge 3.969 5.120 2.737
K 4.893 1.441 0.501
K -0.894 4.914 7.984
Sm 3.400 1.420 4.680
Sm 0.598 4.893 3.805
```

Output
Uncorrected formation energy ... -1293 meV/atom

---

Entry from Alexandria: KBe2Rh at its PBEsol-relaxed geometry (SCAN).

```
4
Lattice="2.691 0.000 0.000 0.000 4.834 0.000 -1.345 -2.417 4.712" Properties=species:S:1:pos:R:3 pbc="T T T"
Be 1.345 0.000 1.981
Be 1.345 2.417 4.524
K 1.345 2.417 0.105
Rh 0.000 2.417 2.814
```

Output
Formation enthalpy at 0 K ... 56 kJ per mole of atoms

---

The calculation returns the following DFT total energy values, one per record and in order: -20.807 -27.776 -23.032 -12.122 eV/atom.
The calculation returns the following calculated density values, one per record and in order: 7.69 5.02 4.82 4.34 Mg/m³.